First-principles (PBE) data for BaU2O6 after structural relaxation, as listed in the Alexandria database.

```
9
Lattice="-1.9055 1.9055 8.9018 1.9055 -1.9055 8.9018 1.9055 1.9055 -8.9018" Properties=species:S:1:pos:R:3 pbc="T T T"
Ba 0.0000 0.0000 0.0000
U 0.0000 0.0000 5.8816
U 0.0000 0.0000 11.9220
O 1.9055 0.0000 1.8945
O 1.9055 0.0000 4.4509
O 1.9055 0.0000 7.0073
O 0.0000 1.9055 1.8945
O 0.0000 1.9055 4.4509
O 0.0000 1.9055 7.0073
```

## Properties
As for the density of states at the Fermi level: 8.6 states/eV/cell. For the volume, the calculation gives 14.4 Å³/atom. Its offset from the most stable computed form is 0 meV per atom. The energy relative to the elements, uncorrected comes out at -3124 meV per atom. As for the space group: I4/mmm, No. 139. Its spin magnetization is 2.0 μB/f.u.